DFT (PBE) results for a geometry-optimized Tb2CuNi structure.

Output
**Total moment**: 0.000 μB per cell
**ΔE_f**: -0.30 eV/atom
**Energy**: -5.087 eV/atom

Unit cell a=3.433 b=3.433 c=6.901 alpha=90.00 beta=90.00 gamma=90.00
Space group P4/mmm (No. 123)
Asymmetric unit:
Tb 0.000 0.000 0.242
Cu 0.500 0.500 0.500
Ni 0.500 0.500 0.000